A plane-wave DFT calculation with SCAN was carried out for ReTe2Cl at its PBEsol-relaxed geometry.

Cell lengths 7.146, 7.146, 7.146 Å; angles 122.10, 122.10, 86.40 degrees
Fractional positions:
Re (0.000, 0.000, 0.000)
Re (0.750, 0.250, 0.500)
Te (0.057, 0.625, 0.932)
Te (0.375, 0.307, 0.432)
Te (0.693, 0.125, 0.068)
Te (0.875, 0.943, 0.568)
Cl (0.250, 0.750, 0.500)
Cl (0.500, 0.500, 0.000)

Calculated values
Space group   No. 122
Offset from the most stable computed form   0.000 eV/atom

***

A plane-wave DFT calculation with SCAN was carried out for Re2TeCl at its PBEsol-relaxed geometry.

Cell lengths 4.405, 4.405, 5.346 Å; angles 101.22, 101.22, 40.11 degrees
Fractional positions:
Re (0.250, 0.250, 0.217)
Re (0.750, 0.750, 0.783)
Te (0.000, 0.000, 0.500)
Cl (0.500, 0.500, 0.000)

Calculated values
Space group   No. 12
Offset from the most stable computed form   0.000 eV/atom

***

A plane-wave DFT calculation with SCAN was carried out for Re3TeCl at its PBEsol-relaxed geometry.

Cell lengths 4.876, 4.876, 4.876 Å; angles 90.00, 90.00, 90.00 degrees
Fractional positions:
Re (0.000, 0.000, 0.500)
Re (0.000, 0.500, 0.000)
Re (0.500, 0.000, 0.000)
Te (0.000, 0.000, 0.000)
Cl (0.500, 0.500, 0.500)

Calculated values
Space group   No. 221

***

A plane-wave DFT calculation with SCAN was carried out for TlReCl at its PBEsol-relaxed geometry.

Cell lengths 4.539, 4.539, 4.539 Å; angles 60.00, 60.00, 60.00 degrees
Fractional positions:
Tl (0.000, 0.000, 0.000)
Re (0.750, 0.750, 0.750)
Cl (0.500, 0.500, 0.500)

Calculated values
Space group   No. 216

***

A plane-wave DFT calculation with SCAN was carried out for TlReCl3 at its PBEsol-relaxed geometry.

Cell lengths 4.831, 4.831, 4.831 Å; angles 90.00, 90.00, 90.00 degrees
Fractional positions:
Tl (0.000, 0.000, 0.000)
Re (0.500, 0.500, 0.500)
Cl (0.000, 0.500, 0.500)
Cl (0.500, 0.000, 0.500)
Cl (0.500, 0.500, 0.000)

Calculated values
Space group   No. 221

***

A plane-wave DFT calculation with SCAN was carried out for Tl4ReCl at its PBEsol-relaxed geometry.

Cell lengths 6.058, 6.058, 6.058 Å; angles 60.00, 60.00, 60.00 degrees
Fractional positions:
Tl (0.125, 0.125, 0.125)
Tl (0.125, 0.125, 0.625)
Tl (0.125, 0.625, 0.125)
Tl (0.625, 0.125, 0.125)
Re (0.750, 0.750, 0.750)
Cl (0.500, 0.500, 0.500)

Calculated values
Space group   No. 216

***

A plane-wave DFT calculation with SCAN was carried out for Re3WCl at its PBEsol-relaxed geometry.

Cell lengths 4.279, 4.279, 4.279 Å; angles 90.00, 90.00, 90.00 degrees
Fractional positions:
Re (0.000, 0.000, 0.500)
Re (0.000, 0.500, 0.000)
Re (0.500, 0.000, 0.000)
W (0.500, 0.500, 0.500)
Cl (0.000, 0.000, 0.000)

Calculated values
Space group   No. 221

***

A plane-wave DFT calculation with SCAN was carried out for YReCl at its PBEsol-relaxed geometry.

Cell lengths 4.415, 4.415, 4.415 Å; angles 60.00, 60.00, 60.00 degrees
Fractional positions:
Y (0.000, 0.000, 0.000)
Re (0.500, 0.500, 0.500)
Cl (0.250, 0.250, 0.250)

Calculated values
Space group   No. 216

***

A plane-wave DFT calculation with SCAN was carried out for ZnReCl3 at its PBEsol-relaxed geometry.

Cell lengths 4.813, 4.813, 4.813 Å; angles 90.00, 90.00, 90.00 degrees
Fractional positions:
Zn (0.000, 0.000, 0.000)
Re (0.500, 0.500, 0.500)
Cl (0.000, 0.000, 0.500)
Cl (0.000, 0.500, 0.000)
Cl (0.500, 0.000, 0.000)

Calculated values
Space group   No. 221

***

A plane-wave DFT calculation with SCAN was carried out for Zn3ReCl at its PBEsol-relaxed geometry.

Cell lengths 4.436, 4.436, 4.436 Å; angles 90.00, 90.00, 90.00 degrees
Fractional positions:
Zn (0.000, 0.000, 0.500)
Zn (0.000, 0.500, 0.000)
Zn (0.500, 0.000, 0.000)
Re (0.500, 0.500, 0.500)
Cl (0.000, 0.000, 0.000)

Calculated values
Space group   No. 221

***

A plane-wave DFT calculation with SCAN was carried out for ZrReCl2 at its PBEsol-relaxed geometry.

Cell lengths 6.347, 6.347, 4.470 Å; angles 93.98, 93.98, 28.57 degrees
Fractional positions:
Zr (0.000, 0.000, 0.000)
Re (0.500, 0.500, 0.500)
Cl (0.342, 0.342, 0.773)
Cl (0.658, 0.658, 0.227)

Calculated values
Space group   No. 12
Offset from the most stable computed form   0.000 eV/atom

***

A plane-wave DFT calculation with SCAN was carried out for ZrRe4Cl at its PBEsol-relaxed geometry.

Cell lengths 5.247, 5.247, 5.247 Å; angles 60.00, 60.00, 60.00 degrees
Fractional positions:
Zr (0.000, 0.000, 0.000)
Re (0.126, 0.625, 0.625)
Re (0.625, 0.126, 0.625)
Re (0.625, 0.625, 0.126)
Re (0.625, 0.625, 0.625)
Cl (0.250, 0.250, 0.250)

Calculated values
Space group   No. 216

***

| no. | DFT total energy (eV/atom) | formation energy (no corrections) (eV per atom) | calculated volume (Å³/atom) |
| --- | --- | --- | --- |
| 1 | -38.025 | 0.37 | 31.17 |
| 2 | -45.789 | 1.07 | 16.34 |
| 3 | -48.744 | 2.96 | 23.18 |
| 4 | -49.129 | 1.35 | 22.04 |
| 5 | -33.645 | -0.17 | 22.55 |
| 6 | -60.495 | 0.92 | 26.21 |
| 7 | -56.288 | 1.90 | 15.67 |
| 8 | -34.926 | 0.71 | 20.29 |
| 9 | -21.319 | 0.39 | 22.29 |
| 10 | -22.432 | 1.49 | 17.45 |
| 11 | -29.891 | -0.45 | 21.48 |
| 12 | -53.245 | 0.60 | 17.02 |